1.
FeRh3N | Alexandria via LeMat-Bulk | PBE | relaxed; total DFT energy (no corrections) = -7.519 eV/atom; space group = No. 221; crystal system = cubic
1.0
4.041 0.000 0.000
0.000 4.041 0.000
0.000 0.000 4.041
Fe Rh N
1 3 1
Cartesian
0.000 0.000 0.000
0.000 2.021 2.021
2.021 0.000 2.021
2.021 2.021 0.000
2.021 2.021 2.021

2.
Rb2TlOF | Alexandria via LeMat-Bulk | PBE | relaxed; total DFT energy (no corrections) = -3.605 eV/atom; space group = No. 44; crystal system = orthorhombic
1.0
-2.023 2.472 7.190
2.023 -2.472 7.190
2.023 2.472 -7.190
Rb Tl O F
2 1 1 1
Cartesian
0.000 0.000 0.000
0.000 0.000 3.930
0.000 0.000 9.183
2.023 0.000 2.025
0.000 0.000 6.666

3.
KGa2As | Alexandria via LeMat-Bulk | PBE | relaxed; space group = No. 122; crystal system = tetragonal; formation energy from the elements = -0.084 eV/atom
1.0
-4.142 4.142 3.151
4.142 -4.142 3.151
4.142 4.142 -3.151
K Ga As
2 4 2
Cartesian
0.000 0.000 0.000
0.000 4.142 1.575
2.071 -1.474 2.363
2.668 2.071 0.788
2.071 5.616 -0.788
1.474 2.071 3.938
4.142 0.000 1.575
0.000 0.000 3.151